12
Lattice="-1.454 3.941 2.635 -0.261 -2.818 4.072 14.030 3.128 3.064" Properties=species:S:1:pos:R:3 comment="Na9Cd2Pb PBE optimized geometry" energy_ev_per_atom=-1.509 magmom_total_mub_per_cell=0.00 delta_e_f_ev_per_atom=-0.058 density_g_cm3=2.94 n_ef_per_ev_cell=4.5 pbc="T T T"
Na -0.857 0.561 3.353
Na 3.844 1.610 4.380
Na 8.471 2.641 5.390
Na 1.596 2.488 1.825
Na 6.288 3.535 2.849
Na 10.980 4.581 3.874
Na 2.193 -0.891 2.543
Na 6.885 0.155 3.568
Na 11.577 1.201 4.592
Cd 4.670 1.041 1.020
Cd 9.361 2.087 2.044
Pb 0.000 0.000 0.000